VASP calculation (PBEsol) on a geometry-optimized NbGe2IrRh structure.

The structure in extended XYZ format:
```
5
Lattice="-2.0144 -2.6443 3.2855 4.3351 -1.4256 1.5106 0.1474 3.6984 3.0671" Properties=species:S:1:pos:R:3 pbc="T T T"
Ge 0.0737 1.8492 1.5336
Rh 1.2341 -0.1857 3.9316
Ir -1.0072 -1.3222 1.6427
Nb 0.0000 0.0000 0.0000
Ge 2.1675 -0.7128 0.7553
```

SG = P4/mmm (123)
Formation energy from the elements = 7.00 eV per formula unit

VASP calculation (PBEsol) on a geometry-optimized AlZnCu2 structure.

The structure in extended XYZ format:
```
4
Lattice="-1.1497 -2.3174 -1.5390 1.3819 -2.5624 2.8259 -3.6538 2.8183 1.4296" Properties=species:S:1:pos:R:3 pbc="T T T"
Al -1.1220 -1.0873 2.4753
Cu -2.3190 -0.9721 0.2525
Zn -3.4747 0.3717 2.0361
Cu -0.0437 0.0047 0.0256
```

SG = Imm2 (44)
Formation energy from the elements = -0.58 eV per formula unit

VASP calculation (PBEsol) on a geometry-optimized KTa2Cu structure.

The structure in extended XYZ format:
```
4
Lattice="2.9413 0.0000 0.0000 0.0000 4.8734 0.0000 0.0000 0.0000 4.8734" Properties=species:S:1:pos:R:3 pbc="T T T"
Ta 0.0000 2.4367 0.0000
Ta 0.0000 0.0000 2.4367
Cu 1.4706 2.4367 2.4367
K 1.4706 0.0000 0.0000
```

SG = P4/mmm (123)
E above lowest polymorph = 919.6 meV per atom
Formation energy from the elements = 6.92 eV per formula unit

VASP calculation (PBEsol) on a geometry-optimized Al2OsRu structure.

The structure in extended XYZ format:
```
8
Lattice="5.4161 -0.0197 0.0000 -2.5790 4.7627 0.0000 -1.4185 -2.3715 4.6581" Properties=species:S:1:pos:R:3 pbc="T T T"
Os 0.0000 0.0000 0.0000
Al 0.3687 0.5844 2.3455
Ru 2.7080 -0.0099 2.3291
Al 3.0486 0.5914 0.0164
Al 1.7591 2.9728 2.3126
Os -1.2895 2.3813 2.3291
Ru 1.4185 2.3715 0.0000
Al -2.3393 0.5943 4.6417
```

SG = I-42d (122)
Formation energy from the elements = 1.69 eV per formula unit

VASP calculation (PBEsol) on a geometry-optimized ReRh structure.

The structure in extended XYZ format:
```
4
Lattice="2.6997 0.0000 0.0000 0.0000 4.7368 0.0019 -1.3498 -2.3024 4.3573" Properties=species:S:1:pos:R:3 pbc="T T T"
Rh 1.3498 3.1972 1.0576
Re 0.0000 0.7945 1.0932
Rh 0.0000 -0.7628 3.3016
Re 1.3498 1.6399 3.2660
```

SG = C2/m (12)
E above lowest polymorph = 80.3 meV per atom
Formation energy from the elements = -0.25 eV per formula unit

VASP calculation (PBEsol) on a geometry-optimized SrMgSi2 structure.

The structure in extended XYZ format:
```
32
Lattice="-0.6869 4.1998 -1.0862 -11.1740 -1.5121 1.2203 0.9968 3.7139 13.7298" Properties=species:S:1:pos:R:3 pbc="T T T"
Sr -2.9732 4.3895 5.5333
Mg -6.9466 3.0303 11.6706
Si -2.7923 2.8670 8.4118
Si -8.0718 3.5346 5.4522
Mg -1.8217 5.4444 8.8838
Si -0.3521 2.3411 4.8348
Mg -0.2615 3.0418 7.4869
Mg -5.0511 0.6042 1.0907
Sr -2.2700 6.2742 12.3759
Sr -0.5937 3.8411 1.9078
Si -4.9230 2.3115 7.6113
Mg -10.6026 3.3598 6.3770
Sr -7.8909 2.0120 8.3306
Mg -5.8131 5.7974 12.7733
Mg -9.0425 0.9572 4.9801
Sr -5.1344 5.0161 9.3230
Sr -8.5942 0.1274 1.4881
Si -0.4451 1.1280 0.2029
Si -10.4191 5.2736 13.6610
Si -10.5121 4.0605 9.0291
Si -4.3472 3.5899 12.1905
Si -2.4291 1.7374 3.8141
Si -2.4499 3.5240 10.7357
Si -8.4373 5.2746 12.4114
Si -8.4143 2.8775 3.1282
Si -2.4269 1.1270 1.4525
Mg -3.9175 3.3713 2.1934
Si -5.9412 4.0901 6.2526
Sr -5.7298 1.3854 4.5409
Sr -10.2705 2.5605 11.9561
Si -8.4350 4.6642 10.0498
Si -6.5170 2.8116 1.6735
```

SG = Pnma (62)
Uncorrected formation energy = -396 meV/atom

VASP calculation (PBEsol) on a geometry-optimized HfHRh3 structure.

The structure in extended XYZ format:
```
5
Lattice="-3.9523 -2.4498 -0.8085 0.6904 -2.4297 3.9869 -2.4856 3.2204 2.3930" Properties=species:S:1:pos:R:3 pbc="T T T"
Rh -1.2428 1.6102 1.1965
Rh -1.9761 -1.2249 -0.4043
Rh 0.3452 -1.2148 1.9935
H -2.8738 -0.8295 2.7857
Hf 0.0000 0.0000 0.0000
```

SG = Pm-3m (221)
E above lowest polymorph = 2428.3 meV per atom

VASP calculation (PBEsol) on a geometry-optimized MgMnRe structure.

The structure in extended XYZ format:
```
3
Lattice="-1.0754 2.0717 1.7587 -2.1576 0.4991 -1.9072 -1.1738 -4.6632 2.3470" Properties=species:S:1:pos:R:3 pbc="T T T"
Mn -2.6374 0.0496 0.7573
Mg -0.0305 -0.0369 0.0248
Re -1.7390 -2.1051 1.4164
```

SG = I4mm (107)
E above lowest polymorph = 0.0 meV per atom
Formation energy from the elements = 0.56 eV per formula unit

| no. | magnetization (μB per formula unit) |
| --- | --- |
| 1 | 0.64 |
| 2 | 0.00 |
| 3 | 0.00 |
| 4 | 0.01 |
| 5 | 0.00 |
| 6 | 0.00 |
| 7 | 1.63 |
| 8 | 0.00 |